Computed, not measured: a relaxed K4USb3Te8 crystal at the GGA-PBE level of DFT.

Calculated values
Uncorrected formation energy   -0.6020 eV per atom
D(E_F)   8.8 states/eV per cell

a b c (Å): 9.754 9.754 9.754
angles (deg): 55.88 55.88 55.88
Atoms (fractional coordinates):
K (0.000, 0.000, 0.000)
K (0.000, 0.500, 0.500)
K (0.500, 0.000, 0.500)
K (0.500, 0.500, 0.000)
U (0.500, 0.500, 0.500)
Sb (0.000, 0.000, 0.500)
Sb (0.000, 0.500, 0.000)
Sb (0.500, 0.000, 0.000)
Te (0.235, 0.235, 0.235)
Te (0.235, 0.736, 0.736)
Te (0.264, 0.264, 0.765)
Te (0.264, 0.765, 0.264)
Te (0.736, 0.235, 0.736)
Te (0.736, 0.736, 0.235)
Te (0.765, 0.264, 0.264)
Te (0.765, 0.765, 0.765)